Model w:
CaAsPdBr2 after structural relaxation, computed with PBE.

The structure in CIF format:
```
data_CaAsPdBr2
_cell_length_a 5.473
_cell_length_b 5.473
_cell_length_c 5.925
_cell_angle_alpha 90.00
_cell_angle_beta 90.00
_cell_angle_gamma 90.00
_symmetry_space_group_name_H-M 'P 4/m m m'
_symmetry_Int_Tables_number 123
_symmetry_space_group_name_Hall '-P 4 2'
loop_
_atom_site_label
_atom_site_type_symbol
_atom_site_fract_x
_atom_site_fract_y
_atom_site_fract_z
_atom_site_occupancy
Ca1 Ca 0.000 0.000 0.000 1
As1 As 0.000 0.000 0.500 1
Pd1 Pd 0.500 0.500 0.500 1
Br1 Br 0.000 0.500 0.000 1
```

Summary:
Magnetization ... 1.8 μB per cell

=====

Model x:
CaAsPdBr2 after structural relaxation, computed with PBE.

The structure in CIF format:
```
data_CaAsPdBr2
_cell_length_a 5.164
_cell_length_b 5.164
_cell_length_c 5.030
_cell_angle_alpha 90.00
_cell_angle_beta 90.00
_cell_angle_gamma 90.00
_symmetry_space_group_name_H-M 'P 4/m m m'
_symmetry_Int_Tables_number 123
_symmetry_space_group_name_Hall '-P 4 2'
loop_
_atom_site_label
_atom_site_type_symbol
_atom_site_fract_x
_atom_site_fract_y
_atom_site_fract_z
_atom_site_occupancy
Ca1 Ca 0.000 0.000 0.000 1
As1 As 0.500 0.500 0.000 1
Pd1 Pd 0.500 0.500 0.500 1
Br1 Br 0.000 0.500 0.500 1
```

Summary:
Magnetization ... 0.8 μB per cell

=====

Most stable: model x. Least stable: model w.

=====

Model w:
CaAs2PtBr after structural relaxation, computed with PBE.

The structure in CIF format:
```
data_CaAs2PtBr
_cell_length_a 4.888
_cell_length_b 4.888
_cell_length_c 5.494
_cell_angle_alpha 90.00
_cell_angle_beta 90.00
_cell_angle_gamma 90.00
_symmetry_space_group_name_H-M 'P 4/m m m'
_symmetry_Int_Tables_number 123
_symmetry_space_group_name_Hall '-P 4 2'
loop_
_atom_site_label
_atom_site_type_symbol
_atom_site_fract_x
_atom_site_fract_y
_atom_site_fract_z
_atom_site_occupancy
Ca1 Ca 0.000 0.000 0.000 1
As1 As 0.000 0.500 0.500 1
Pt1 Pt 0.500 0.500 0.500 1
Br1 Br 0.500 0.500 0.000 1
```

Summary:
Magnetization ... 0.5 μB per cell

=====

Model x:
CaAs2PtBr after structural relaxation, computed with PBE.

The structure in CIF format:
```
data_CaAs2PtBr
_cell_length_a 5.460
_cell_length_b 5.460
_cell_length_c 5.164
_cell_angle_alpha 90.00
_cell_angle_beta 90.00
_cell_angle_gamma 90.00
_symmetry_space_group_name_H-M 'P 4/m m m'
_symmetry_Int_Tables_number 123
_symmetry_space_group_name_Hall '-P 4 2'
loop_
_atom_site_label
_atom_site_type_symbol
_atom_site_fract_x
_atom_site_fract_y
_atom_site_fract_z
_atom_site_occupancy
Ca1 Ca 0.000 0.000 0.000 1
As1 As 0.000 0.500 0.000 1
Pt1 Pt 0.500 0.500 0.500 1
Br1 Br 0.000 0.000 0.500 1
```

Summary:
Magnetization ... 0.0 μB per cell

=====

Most stable: model w. Least stable: model x.

=====

Model w:
RbCaAsBr2 after structural relaxation, computed with PBE.

The structure in CIF format:
```
data_RbCaAsBr2
_cell_length_a 5.987
_cell_length_b 5.987
_cell_length_c 5.848
_cell_angle_alpha 90.00
_cell_angle_beta 90.00
_cell_angle_gamma 90.00
_symmetry_space_group_name_H-M 'P 4/m m m'
_symmetry_Int_Tables_number 123
_symmetry_space_group_name_Hall '-P 4 2'
loop_
_atom_site_label
_atom_site_type_symbol
_atom_site_fract_x
_atom_site_fract_y
_atom_site_fract_z
_atom_site_occupancy
Rb1 Rb 0.000 0.000 0.000 1
Ca1 Ca 0.500 0.500 0.500 1
As1 As 0.000 0.000 0.500 1
Br1 Br 0.000 0.500 0.000 1
```

Summary:
Magnetization ... 1.0 μB per cell

=====

Model x:
RbCaAsBr2 after structural relaxation, computed with PBE.

The structure in CIF format:
```
data_RbCaAsBr2
_cell_length_a 5.783
_cell_length_b 5.783
_cell_length_c 5.927
_cell_angle_alpha 90.00
_cell_angle_beta 90.00
_cell_angle_gamma 90.00
_symmetry_space_group_name_H-M 'P 4/m m m'
_symmetry_Int_Tables_number 123
_symmetry_space_group_name_Hall '-P 4 2'
loop_
_atom_site_label
_atom_site_type_symbol
_atom_site_fract_x
_atom_site_fract_y
_atom_site_fract_z
_atom_site_occupancy
Rb1 Rb 0.000 0.000 0.000 1
Ca1 Ca 0.500 0.500 0.500 1
As1 As 0.500 0.500 0.000 1
Br1 Br 0.000 0.500 0.500 1
```

Summary:
Magnetization ... 2.0 μB per cell

=====

Most stable: model x. Least stable: model w.

=====

Model w:
CaAsRhBr2 after structural relaxation, computed with PBE.

The structure in CIF format:
```
data_CaAsRhBr2
_cell_length_a 5.358
_cell_length_b 5.358
_cell_length_c 5.877
_cell_angle_alpha 90.00
_cell_angle_beta 90.00
_cell_angle_gamma 90.00
_symmetry_space_group_name_H-M 'P 4/m m m'
_symmetry_Int_Tables_number 123
_symmetry_space_group_name_Hall '-P 4 2'
loop_
_atom_site_label
_atom_site_type_symbol
_atom_site_fract_x
_atom_site_fract_y
_atom_site_fract_z
_atom_site_occupancy
Ca1 Ca 0.000 0.000 0.000 1
As1 As 0.000 0.000 0.500 1
Rh1 Rh 0.500 0.500 0.500 1
Br1 Br 0.000 0.500 0.000 1
```

Summary:
Magnetization ... 1.7 μB per cell

=====

Model x:
CaAsRhBr2 after structural relaxation, computed with PBE.

The structure in CIF format:
```
data_CaAsRhBr2
_cell_length_a 4.904
_cell_length_b 4.904
_cell_length_c 5.705
_cell_angle_alpha 90.00
_cell_angle_beta 90.00
_cell_angle_gamma 90.00
_symmetry_space_group_name_H-M 'P 4/m m m'
_symmetry_Int_Tables_number 123
_symmetry_space_group_name_Hall '-P 4 2'
loop_
_atom_site_label
_atom_site_type_symbol
_atom_site_fract_x
_atom_site_fract_y
_atom_site_fract_z
_atom_site_occupancy
Ca1 Ca 0.000 0.000 0.000 1
As1 As 0.500 0.500 0.000 1
Rh1 Rh 0.000 0.000 0.500 1
Br1 Br 0.000 0.500 0.500 1
```

Summary:
Magnetization ... 0.9 μB per cell

=====

Model y:
CaAsRhBr2 after structural relaxation, computed with PBE.

The structure in CIF format:
```
data_CaAsRhBr2
_cell_length_a 5.219
_cell_length_b 5.219
_cell_length_c 4.782
_cell_angle_alpha 90.00
_cell_angle_beta 90.00
_cell_angle_gamma 90.00
_symmetry_space_group_name_H-M 'P 4/m m m'
_symmetry_Int_Tables_number 123
_symmetry_space_group_name_Hall '-P 4 2'
loop_
_atom_site_label
_atom_site_type_symbol
_atom_site_fract_x
_atom_site_fract_y
_atom_site_fract_z
_atom_site_occupancy
Ca1 Ca 0.000 0.000 0.000 1
As1 As 0.500 0.500 0.000 1
Rh1 Rh 0.500 0.500 0.500 1
Br1 Br 0.000 0.500 0.500 1
```

Summary:
Magnetization ... 0.0 μB per cell

=====

Most stable: model y. Least stable: model w.

=====

Model w:
CaAsRuBr2 after structural relaxation, computed with PBE.

The structure in CIF format:
```
data_CaAsRuBr2
_cell_length_a 5.267
_cell_length_b 5.267
_cell_length_c 4.688
_cell_angle_alpha 90.00
_cell_angle_beta 90.00
_cell_angle_gamma 90.00
_symmetry_space_group_name_H-M 'P 4/m m m'
_symmetry_Int_Tables_number 123
_symmetry_space_group_name_Hall '-P 4 2'
loop_
_atom_site_label
_atom_site_type_symbol
_atom_site_fract_x
_atom_site_fract_y
_atom_site_fract_z
_atom_site_occupancy
Ca1 Ca 0.000 0.000 0.000 1
As1 As 0.500 0.500 0.000 1
Ru1 Ru 0.500 0.500 0.500 1
Br1 Br 0.000 0.500 0.500 1
```

Summary:
Magnetization ... 0.0 μB per cell

=====

Model x:
CaAsRuBr2 after structural relaxation, computed with PBE.

The structure in CIF format:
```
data_CaAsRuBr2
_cell_length_a 5.419
_cell_length_b 5.419
_cell_length_c 5.883
_cell_angle_alpha 90.00
_cell_angle_beta 90.00
_cell_angle_gamma 90.00
_symmetry_space_group_name_H-M 'P 4/m m m'
_symmetry_Int_Tables_number 123
_symmetry_space_group_name_Hall '-P 4 2'
loop_
_atom_site_label
_atom_site_type_symbol
_atom_site_fract_x
_atom_site_fract_y
_atom_site_fract_z
_atom_site_occupancy
Ca1 Ca 0.000 0.000 0.000 1
As1 As 0.000 0.000 0.500 1
Ru1 Ru 0.500 0.500 0.500 1
Br1 Br 0.000 0.500 0.000 1
```

Summary:
Magnetization ... 5.0 μB per cell

=====

Most stable: model w. Least stable: model x.

=====

Model w:
CaAs2SBr after structural relaxation, computed with PBE.

The structure in CIF format:
```
data_CaAs2SBr
_cell_length_a 5.676
_cell_length_b 5.676
_cell_length_c 5.252
_cell_angle_alpha 90.00
_cell_angle_beta 90.00
_cell_angle_gamma 90.00
_symmetry_space_group_name_H-M 'P 4/m m m'
_symmetry_Int_Tables_number 123
_symmetry_space_group_name_Hall '-P 4 2'
loop_
_atom_site_label
_atom_site_type_symbol
_atom_site_fract_x
_atom_site_fract_y
_atom_site_fract_z
_atom_site_occupancy
Ca1 Ca 0.000 0.000 0.000 1
As1 As 0.000 0.500 0.000 1
S1 S 0.500 0.500 0.500 1
Br1 Br 0.000 0.000 0.500 1
```

Summary:
Magnetization ... 0.6 μB per cell

=====

Model x:
CaAs2SBr after structural relaxation, computed with PBE.

The structure in CIF format:
```
data_CaAs2SBr
_cell_length_a 4.888
_cell_length_b 4.888
_cell_length_c 5.261
_cell_angle_alpha 90.00
_cell_angle_beta 90.00
_cell_angle_gamma 90.00
_symmetry_space_group_name_H-M 'P 4/m m m'
_symmetry_Int_Tables_number 123
_symmetry_space_group_name_Hall '-P 4 2'
loop_
_atom_site_label
_atom_site_type_symbol
_atom_site_fract_x
_atom_site_fract_y
_atom_site_fract_z
_atom_site_occupancy
Ca1 Ca 0.000 0.000 0.000 1
As1 As 0.000 0.500 0.500 1
S1 S 0.500 0.500 0.500 1
Br1 Br 0.500 0.500 0.000 1
```

Summary:
Magnetization ... 0.0 μB per cell

=====

Most stable: model x. Least stable: model w.